Entry 1:
This record from Alexandria describes a relaxed structure of Pr2CdGe3Pd4. The functional is PBE. Values from VASP.

The structure in Quantum ESPRESSO input format:
```
&SYSTEM
  ibrav = 0, nat = 10, ntyp = 4
/
ATOMIC_SPECIES
Cd 112.41 Cd.upf
Pd 106.42 Pd.upf
Ge 72.64 Ge.upf
Pr 140.91 Pr.upf
CELL_PARAMETERS angstrom
-0.786 0.200 -4.294
0.852 -4.272 -0.355
-10.172 -2.175 1.760
ATOMIC_POSITIONS crystal
Cd 0.500 0.500 0.500
Pd 0.500 0.500 0.000
Pd 0.500 0.000 0.645
Pd 0.000 0.500 0.355
Pd 0.000 0.000 0.000
Ge 0.000 0.000 0.500
Ge 0.500 0.000 0.876
Ge 0.000 0.500 0.124
Pr 0.500 0.000 0.243
Pr 0.000 0.500 0.757
```

Results
E_form, eV/atom: -0.74
Total energy, eV/atom: -5.2525
D(E_F), states/eV per atom: 0.566


Entry 2:
This record from Alexandria describes a relaxed structure of CdGePdPt. The functional is PBE. Values from VASP.

The structure in Quantum ESPRESSO input format:
```
&SYSTEM
  ibrav = 0, nat = 4, ntyp = 4
/
ATOMIC_SPECIES
Pt 195.08 Pt.upf
Ge 72.64 Ge.upf
Pd 106.42 Pd.upf
Cd 112.41 Cd.upf
CELL_PARAMETERS angstrom
-3.740 -0.772 2.496
-3.028 -3.139 -1.338
-0.423 -3.900 2.329
ATOMIC_POSITIONS crystal
Pt 0.250 0.250 0.250
Ge 0.500 0.500 0.500
Pd 0.750 0.750 0.750
Cd 0.000 0.000 0.000
```

Results
E_form, eV/atom: -0.27
Total energy, eV/atom: -4.4578
D(E_F), states/eV per atom: 0.780


Entry 3:
This record from Alexandria describes a relaxed structure of PuCdGe2Pd5. The functional is PBE. Values from VASP.

The structure in Quantum ESPRESSO input format:
```
&SYSTEM
  ibrav = 0, nat = 9, ntyp = 4
/
ATOMIC_SPECIES
Pd 106.42 Pd.upf
Cd 112.41 Cd.upf
Pu 244.00 Pu.upf
Ge 72.64 Ge.upf
CELL_PARAMETERS angstrom
-4.263 0.479 -0.273
0.176 -0.836 -4.213
-1.079 -8.652 1.671
ATOMIC_POSITIONS crystal
Pd 0.000 0.500 0.731
Pd 0.500 0.000 0.731
Pd 0.500 0.000 0.269
Pd 0.000 0.500 0.269
Pd 0.500 0.500 0.500
Cd 0.000 0.000 0.000
Pu 0.000 0.000 0.500
Ge 0.500 0.500 0.865
Ge 0.500 0.500 0.135
```

Results
E_form, eV/atom: -0.40
Total energy, eV/atom: -6.0017
D(E_F), states/eV per atom: 2.137


Entry 4:
This record from Alexandria describes a relaxed structure of Pu2CdGe3Pd4. The functional is PBE. Values from VASP.

The structure in Quantum ESPRESSO input format:
```
&SYSTEM
  ibrav = 0, nat = 10, ntyp = 4
/
ATOMIC_SPECIES
Cd 112.41 Cd.upf
Ge 72.64 Ge.upf
Pd 106.42 Pd.upf
Pu 244.00 Pu.upf
CELL_PARAMETERS angstrom
-1.162 -3.070 -2.558
3.918 -0.354 -1.355
2.127 -7.578 8.130
ATOMIC_POSITIONS crystal
Cd 0.500 0.500 0.500
Ge 0.500 0.000 0.872
Ge 0.000 0.500 0.128
Ge 0.000 0.000 0.500
Pd 0.500 0.000 0.654
Pd 0.000 0.500 0.346
Pd 0.000 0.000 0.000
Pd 0.500 0.500 0.000
Pu 0.000 0.500 0.759
Pu 0.500 0.000 0.241
```

Results
E_form, eV/atom: -0.51
Total energy, eV/atom: -6.9335
D(E_F), states/eV per atom: 2.765


Entry 5:
This record from Alexandria describes a relaxed structure of PuCd2GePd2. The functional is PBE. Values from VASP.

The structure in Quantum ESPRESSO input format:
```
&SYSTEM
  ibrav = 0, nat = 6, ntyp = 4
/
ATOMIC_SPECIES
Pd 106.42 Pd.upf
Pu 244.00 Pu.upf
Cd 112.41 Cd.upf
Ge 72.64 Ge.upf
CELL_PARAMETERS angstrom
-0.929 -5.071 1.176
1.758 0.819 4.920
-5.296 3.377 -1.512
ATOMIC_POSITIONS crystal
Pd 0.775 0.775 0.551
Pd 0.225 0.225 0.449
Pu 0.500 0.500 0.000
Cd 0.250 0.750 0.500
Cd 0.750 0.250 0.500
Ge 0.000 0.000 0.000
```

Results
E_form, eV/atom: -0.03
Total energy, eV/atom: -5.2292
D(E_F), states/eV per atom: 2.881


Entry 6:
This record from Alexandria describes a relaxed structure of CdGePdRh. The functional is PBE. Values from VASP.

The structure in Quantum ESPRESSO input format:
```
&SYSTEM
  ibrav = 0, nat = 4, ntyp = 4
/
ATOMIC_SPECIES
Ge 72.64 Ge.upf
Rh 102.91 Rh.upf
Pd 106.42 Pd.upf
Cd 112.41 Cd.upf
CELL_PARAMETERS angstrom
4.497 0.000 0.000
2.249 3.895 0.000
2.249 1.298 3.672
ATOMIC_POSITIONS crystal
Ge 0.750 0.750 0.750
Rh 0.000 0.000 0.000
Pd 0.500 0.500 0.500
Cd 0.250 0.250 0.250
```

Results
E_form, eV/atom: -0.24
Total energy, eV/atom: -4.7562
D(E_F), states/eV per atom: 1.313